No. 1
# AcCd2Pd4, relaxed, DFT GGA-PBE
data_AcCd2Pd4
_space_group_name_H-M_alt 'I 4/m m m'
_space_group_IT_number 139
_space_group_name_Hall '-I 4 2'
_cell_length_a 7.050
_cell_length_b 7.050
_cell_length_c 5.639
_cell_angle_alpha 90.00
_cell_angle_beta 90.00
_cell_angle_gamma 90.00
loop_
_atom_site_label
_atom_site_fract_x
_atom_site_fract_y
_atom_site_fract_z
_atom_site_occupancy
Ac1 0.000 0.000 0.000 1
Cd1 0.000 0.500 0.250 1
Pd1 0.197 0.197 0.500 1
# **ρ**: 10.398 Mg/m³
# **Raw total energy**: -4.40 eV/atom
# **D(E_F)**: 3.97 states/eV per cell
# **Formation enthalpy at 0 K**: -56.43 kJ per mole of atoms

No. 2
# Ac2CdPd, relaxed, DFT GGA-PBE
data_Ac2CdPd
_space_group_name_H-M_alt 'R 3 m'
_space_group_IT_number 160
_space_group_name_Hall 'R 3 -2"'
_cell_length_a 4.4350
_cell_length_b 4.4350
_cell_length_c 24.7508
_cell_angle_alpha 90.00
_cell_angle_beta 90.00
_cell_angle_gamma 120.00
loop_
_atom_site_label
_atom_site_fract_x
_atom_site_fract_y
_atom_site_fract_z
_atom_site_occupancy
Ac1 0.0000 0.0000 0.0000 1
Ac2 0.0000 0.0000 0.1954 1
Cd1 0.0000 0.0000 0.4305 1
Pd1 0.0000 0.0000 0.5970 1
# **ρ**: 7.950 Mg/m³
# **Raw total energy**: -4.03 eV/atom
# **D(E_F)**: 10.04 states/eV per cell
# **Formation enthalpy at 0 K**: -43.18 kJ per mole of atoms

No. 3
# Ac12CdPd6, relaxed, DFT GGA-PBE
data_Ac12CdPd6
_space_group_name_H-M_alt 'I m -3'
_space_group_IT_number 204
_space_group_name_Hall '-I 2 2 3'
_cell_length_a 10.933
_cell_length_b 10.933
_cell_length_c 10.933
_cell_angle_alpha 90.00
_cell_angle_beta 90.00
_cell_angle_gamma 90.00
loop_
_atom_site_label
_atom_site_fract_x
_atom_site_fract_y
_atom_site_fract_z
_atom_site_occupancy
Ac1 0.000 0.306 0.182 1
Cd1 0.000 0.000 0.000 1
Pd1 0.000 0.130 0.500 1
# **ρ**: 8.830 Mg/m³
# **Raw total energy**: -4.81 eV/atom
# **D(E_F)**: 31.18 states/eV per cell
# **Formation enthalpy at 0 K**: -51.28 kJ per mole of atoms

No. 4
# AcCd4Pd8, relaxed, DFT GGA-PBE
data_AcCd4Pd8
_space_group_name_H-M_alt 'I 4/m m m'
_space_group_IT_number 139
_space_group_name_Hall '-I 4 2'
_cell_length_a 9.263
_cell_length_b 9.263
_cell_length_c 5.714
_cell_angle_alpha 90.00
_cell_angle_beta 90.00
_cell_angle_gamma 90.00
loop_
_atom_site_label
_atom_site_fract_x
_atom_site_fract_y
_atom_site_fract_z
_atom_site_occupancy
Ac1 0.000 0.000 0.000 1
Cd1 0.250 0.250 0.250 1
Pd1 0.000 0.223 0.500 1
Pd2 0.000 0.349 0.000 1
# **ρ**: 10.352 Mg/m³
# **Raw total energy**: -4.18 eV/atom
# **D(E_F)**: 11.53 states/eV per cell
# **Formation enthalpy at 0 K**: -37.28 kJ per mole of atoms

No. 5
# Ac2Cd3Pd2, relaxed, DFT GGA-PBE
data_Ac2Cd3Pd2
_space_group_name_H-M_alt 'C 1 2/m 1'
_space_group_IT_number 12
_space_group_name_Hall '-C 2y'
_cell_length_a 11.022
_cell_length_b 4.220
_cell_length_c 7.875
_cell_angle_alpha 90.00
_cell_angle_beta 93.84
_cell_angle_gamma 90.00
loop_
_atom_site_label
_atom_site_fract_x
_atom_site_fract_y
_atom_site_fract_z
_atom_site_occupancy
Ac1 0.128 0.000 0.340 1
Cd1 0.000 0.500 0.000 1
Cd2 0.175 0.000 0.872 1
Pd1 0.087 0.500 0.643 1
# **ρ**: 9.123 Mg/m³
# **Raw total energy**: -3.59 eV/atom
# **D(E_F)**: 6.48 states/eV per cell
# **Formation enthalpy at 0 K**: -51.95 kJ per mole of atoms

No. 6
# Ac4Cd3Pd, relaxed, DFT GGA-PBE
data_Ac4Cd3Pd
_space_group_name_H-M_alt 'P 4/m m m'
_space_group_IT_number 123
_space_group_name_Hall '-P 4 2'
_cell_length_a 3.999
_cell_length_b 3.999
_cell_length_c 16.128
_cell_angle_alpha 90.00
_cell_angle_beta 90.00
_cell_angle_gamma 90.00
loop_
_atom_site_label
_atom_site_fract_x
_atom_site_fract_y
_atom_site_fract_z
_atom_site_occupancy
Ac1 0.000 0.000 0.111 1
Ac2 0.000 0.000 0.371 1
Cd1 0.500 0.500 0.243 1
Cd2 0.500 0.500 0.500 1
Pd1 0.500 0.500 0.000 1
# **ρ**: 8.704 Mg/m³
# **Raw total energy**: -3.45 eV/atom
# **D(E_F)**: 6.18 states/eV per cell
# **Formation enthalpy at 0 K**: -38.74 kJ per mole of atoms

No. 7
# Ac3CdPd3, relaxed, DFT GGA-PBE
data_Ac3CdPd3
_space_group_name_H-M_alt 'P 63/m'
_space_group_IT_number 176
_space_group_name_Hall '-P 6c'
_cell_length_a 9.2802
_cell_length_b 9.2802
_cell_length_c 6.0739
_cell_angle_alpha 90.00
_cell_angle_beta 90.00
_cell_angle_gamma 120.00
loop_
_atom_site_label
_atom_site_fract_x
_atom_site_fract_y
_atom_site_fract_z
_atom_site_occupancy
Ac1 0.0516 0.6935 0.2500 1
Cd1 0.3333 0.6667 0.7500 1
Pd1 0.0453 0.6849 0.7500 1
# **ρ**: 8.157 Mg/m³
# **Raw total energy**: -4.71 eV/atom
# **D(E_F)**: 7.88 states/eV per cell
# **Formation enthalpy at 0 K**: -57.68 kJ per mole of atoms

No. 8
# Ac2CdPd9, relaxed, DFT GGA-PBE
data_Ac2CdPd9
_space_group_name_H-M_alt 'P 4/m m m'
_space_group_IT_number 123
_space_group_name_Hall '-P 4 2'
_cell_length_a 4.294
_cell_length_b 4.294
_cell_length_c 12.274
_cell_angle_alpha 90.00
_cell_angle_beta 90.00
_cell_angle_gamma 90.00
loop_
_atom_site_label
_atom_site_fract_x
_atom_site_fract_y
_atom_site_fract_z
_atom_site_occupancy
Ac1 0.000 0.000 0.178 1
Cd1 0.000 0.000 0.500 1
Pd1 0.000 0.500 0.000 1
Pd2 0.000 0.500 0.350 1
Pd3 0.500 0.500 0.174 1
Pd4 0.500 0.500 0.500 1
# **ρ**: 11.184 Mg/m³
# **Raw total energy**: -5.20 eV/atom
# **D(E_F)**: 10.48 states/eV per cell
# **Formation enthalpy at 0 K**: -52.85 kJ per mole of atoms